No. 1
Here is a relaxed SrCr2TcO8 crystal from Alexandria. Energies are from PBE+U.

CIF file:
```
data_SrCr2TcO8
_chemical_formula_sum 'Sr1 Cr2 Tc1 O8'
_cell_length_a 4.9349
_cell_length_b 4.9355
_cell_length_c 6.9074
_cell_angle_alpha 80.63
_cell_angle_beta 80.61
_cell_angle_gamma 76.78
_symmetry_space_group_name_H-M 'P -1'
_symmetry_Int_Tables_number 2
_symmetry_space_group_name_Hall '-P 1'
loop_
_atom_site_label
_atom_site_type_symbol
_atom_site_fract_x
_atom_site_fract_y
_atom_site_fract_z
Sr1 Sr 0.0000 0.0000 0.0000
Cr1 Cr 0.4484 0.4488 0.2202
Tc1 Tc 0.0000 0.0000 0.5000
O1 O 0.2224 0.7699 0.7065
O2 O 0.2321 0.7790 0.2931
O3 O 0.2387 0.2410 0.4369
O4 O 0.3391 0.3412 0.0139
```

Calculated values
Density: 4.3 g/cm3



No. 2
Here is a relaxed Ca3V2O6 crystal from Alexandria. Energies are from PBE+U.

CIF file:
```
data_Ca3V2O6
_chemical_formula_sum 'Ca6 V4 O12'
_cell_length_a 3.9221
_cell_length_b 3.9221
_cell_length_c 18.5761
_cell_angle_alpha 90.00
_cell_angle_beta 90.00
_cell_angle_gamma 90.00
_symmetry_space_group_name_H-M 'I 4/m m m'
_symmetry_Int_Tables_number 139
_symmetry_space_group_name_Hall '-I 4 2'
loop_
_atom_site_label
_atom_site_type_symbol
_atom_site_fract_x
_atom_site_fract_y
_atom_site_fract_z
Ca1 Ca 0.0000 0.0000 0.0000
Ca2 Ca 0.0000 0.0000 0.1795
V1 V 0.0000 0.0000 0.4018
O1 O 0.0000 0.0000 0.2997
O2 O 0.0000 0.5000 0.0846
```

Calculated values
Density: 3.7 g/cm3



| no. | VASP energy (eV per atom) | total magnetic moment (μB/f.u.) |
| --- | --- | --- |
| 1 | -7.224 | 5.0 |
| 2 | -7.002 | 4.0 |